First-principles (PBE) data for an optimized crystal structure of Ti3SnRh, as listed in Alexandria.

Calculated values
calculated total energy = -7.30 eV per atom
calculated volume = 90.8 Å³/f.u.
distance to the lowest polymorph of the same formula = 0.00 eV/f.u.
total magnetic moment = 0.00 μB/cell
mass density = 6.68 g/cm³

extended XYZ file:
```
10
Lattice="4.786 -2.054 0.000 4.786 2.054 0.000 -1.486 0.000 9.240" Properties=species:S:1:pos:R:3 pbc="T T T"
Ti -0.141 0.000 3.311
Ti -0.036 0.000 8.747
Ti 2.577 0.000 2.396
Ti 5.510 0.000 6.844
Ti 8.122 0.000 0.493
Ti 8.228 0.000 5.929
Sn 2.722 0.000 7.807
Sn 5.365 0.000 1.433
Rh 1.134 0.000 5.504
Rh 6.953 0.000 3.736
```